Compound: Zr2FeSe
Source: Alexandria via LeMat-Bulk
Functional: GGA-PBE
Structure: optimized geometry

Uncorrected formation energy in kJ/mol of formula units: 50

a = 5.9469 Å, b = 5.9469 Å, c = 11.3268 Å
α = 90.00°, β = 90.00°, γ = 90.00°
Space group I-42d (No. 122)
Symmetry-distinct sites (fractional):
Zr: 0.2028 0.2500 0.1250 [8 per cell]
Fe: 0.0000 0.0000 0.0000 [4 per cell]
Se: 0.0000 0.0000 0.5000 [4 per cell]

Compound: Li2Ge2O
Source: Alexandria via LeMat-Bulk
Functional: GGA-PBE
Structure: optimized geometry

Uncorrected formation energy in kJ/mol of formula units: 64
E above lowest polymorph in eV per formula unit: 1.88

a = 3.3835 Å, b = 3.3835 Å, c = 12.8688 Å
α = 90.00°, β = 90.00°, γ = 90.00°
Space group I4/mmm (No. 139)
Symmetry-distinct sites (fractional):
Li: 0.0000 0.5000 0.2500 [4 per cell]
Ge: 0.0000 0.0000 0.0899 [4 per cell]
O: 0.0000 0.0000 0.5000 [2 per cell]

Compound: MgW2Br
Source: Alexandria via LeMat-Bulk
Functional: GGA-PBE
Structure: optimized geometry

Uncorrected formation energy in kJ/mol of formula units: 433
E above lowest polymorph in eV per formula unit: 3.35

a = 5.3340 Å, b = 9.3741 Å, c = 2.8776 Å
α = 90.00°, β = 90.00°, γ = 90.00°
Space group Cmmm (No. 65)
Symmetry-distinct sites (fractional):
Mg: 0.0000 0.0000 0.0000 [2 per cell]
W: 0.2500 0.2500 0.5000 [4 per cell]
Br: 0.0000 0.5000 0.0000 [2 per cell]

Compound: Ac6CoGe2
Source: Alexandria via LeMat-Bulk
Functional: GGA-PBE
Structure: optimized geometry

Calculated formation energy in meV per atom: -339.2

a = 7.0705 Å, b = 8.4761 Å, c = 12.5242 Å
α = 90.00°, β = 122.62°, γ = 90.00°
Space group P2_1/c (No. 14)
Symmetry-distinct sites (fractional):
Ac: 0.0943 0.1711 0.4358 [4 per cell]
Ac: 0.2971 0.6892 0.4430 [4 per cell]
Ac: 0.3844 0.0360 0.2491 [4 per cell]
Co: 0.5000 0.0000 0.5000 [2 per cell]
Ge: 0.1867 0.1174 0.7510 [4 per cell]

Compound: PrCdPb
Source: Alexandria via LeMat-Bulk
Functional: GGA-PBE
Structure: optimized geometry

Calculated formation energy in meV per atom: -371.8

a = 4.9742 Å, b = 4.9742 Å, c = 4.0436 Å
α = 90.00°, β = 90.00°, γ = 120.00°
Space group P3m1 (No. 156)
Symmetry-distinct sites (fractional):
Pr: 0.0000 0.0000 0.0000 [1 per cell]
Cd: 0.3333 0.6667 0.6054 [1 per cell]
Pb: 0.6667 0.3333 0.4051 [1 per cell]

Compound: K4ZrCd
Source: Alexandria via LeMat-Bulk
Functional: GGA-PBE
Structure: optimized geometry

Calculated formation energy in meV per atom: 818.8

a = 10.3645 Å, b = 10.3645 Å, c = 10.3645 Å
α = 90.00°, β = 90.00°, γ = 90.00°
Space group F-43m (No. 216)
Symmetry-distinct sites (fractional):
K: 0.1249 0.1249 0.1249 [16 per cell]
Zr: 0.2500 0.2500 0.7500 [4 per cell]
Cd: 0.0000 0.0000 0.5000 [4 per cell]

Compound: ZrBi3C
Source: Alexandria via LeMat-Bulk
Functional: GGA-PBE
Structure: optimized geometry

Calculated formation energy in meV per atom: 1596.0
E above lowest polymorph in eV per formula unit: 3.41

a = 5.6433 Å, b = 5.6433 Å, c = 5.6433 Å
α = 90.00°, β = 90.00°, γ = 90.00°
Space group Pm-3m (No. 221)
Symmetry-distinct sites (fractional):
Zr: 0.0000 0.0000 0.0000 [1 per cell]
Bi: 0.0000 0.0000 0.5000 [3 per cell]
C: 0.5000 0.5000 0.5000 [1 per cell]

Compound: SmLuInHg
Source: Alexandria via LeMat-Bulk
Functional: GGA-PBE
Structure: optimized geometry

Calculated formation energy in meV per atom: -439.9

a = 7.5097 Å, b = 7.5097 Å, c = 7.5097 Å
α = 90.00°, β = 90.00°, γ = 90.00°
Space group F-43m (No. 216)
Symmetry-distinct sites (fractional):
Sm: 0.0000 0.0000 0.0000 [4 per cell]
Lu: 0.0000 0.0000 0.5000 [4 per cell]
In: 0.2500 0.2500 0.7500 [4 per cell]
Hg: 0.2500 0.2500 0.2500 [4 per cell]

Compound: Nd3Mg5Pd2
Source: Alexandria via LeMat-Bulk
Functional: GGA-PBE
Structure: optimized geometry

Calculated formation energy in meV per atom: -286.7
E above lowest polymorph in eV per formula unit: 1.16

a = 12.2018 Å, b = 13.0362 Å, c = 6.4430 Å
α = 90.00°, β = 90.00°, γ = 90.00°
Space group Ibam (No. 72)
Symmetry-distinct sites (fractional):
Nd: 0.0000 0.0000 0.2500 [4 per cell]
Nd: 0.2438 0.1581 0.0000 [8 per cell]
Mg: 0.0000 0.2675 0.2500 [8 per cell]
Mg: 0.0000 0.5000 0.2500 [4 per cell]
Mg: 0.1748 0.4116 0.0000 [8 per cell]
Pd: 0.1265 0.1505 0.5000 [8 per cell]

Compound: Mg2MoS
Source: Alexandria via LeMat-Bulk
Functional: GGA-PBE
Structure: optimized geometry

Uncorrected formation energy in kJ/mol of formula units: 93

a = 7.9472 Å, b = 7.9472 Å, c = 4.8131 Å
α = 90.00°, β = 90.00°, γ = 90.00°
Space group I-42d (No. 122)
Symmetry-distinct sites (fractional):
Mg: 0.1732 0.2500 0.1250 [8 per cell]
Mo: 0.0000 0.0000 0.5000 [4 per cell]
S: 0.0000 0.0000 0.0000 [4 per cell]

Compound: La4Tb3Ho5
Source: Alexandria via LeMat-Bulk
Functional: GGA-PBE
Structure: optimized geometry

Calculated formation energy in meV per atom: 222.1

a = 16.2881 Å, b = 6.0037 Å, c = 9.5187 Å
α = 90.00°, β = 117.94°, γ = 90.00°
Space group C2/m (No. 12)
Symmetry-distinct sites (fractional):
La: 0.0879 0.0000 0.4495 [4 per cell]
La: 0.2159 0.0000 0.8837 [4 per cell]
Tb: 0.0000 0.5000 0.0000 [2 per cell]
Tb: 0.2174 0.0000 0.2419 [4 per cell]
Ho: 0.0000 0.0000 0.0000 [2 per cell]
Ho: 0.0683 0.5000 0.7054 [4 per cell]
Ho: 0.1685 0.5000 0.3753 [4 per cell]

Compound: AcLa2Tb3
Source: Alexandria via LeMat-Bulk
Functional: GGA-PBE
Structure: optimized geometry

Calculated formation energy in meV per atom: 190.3

a = 11.4031 Å, b = 11.1958 Å, c = 6.7847 Å
α = 90.00°, β = 90.00°, γ = 90.00°
Space group Cmcm (No. 63)
Symmetry-distinct sites (fractional):
Ac: 0.0000 0.1093 0.2500 [4 per cell]
La: 0.1480 0.2508 0.7500 [8 per cell]
Tb: 0.0000 0.4255 0.2500 [4 per cell]
Tb: 0.2442 0.5000 0.0000 [8 per cell]

Number 1: mass density 5.26 g/cm3, total DFT energy (no corrections) -7.13 eV per atom. Number 2: mass density 3.95 g/cm3, total DFT energy (no corrections) -3.47 eV per atom. Number 3: mass density 10.89 g/cm3, total DFT energy (no corrections) -6.17 eV per atom. Number 4: mass density 8.23 g/cm3, total DFT energy (no corrections) -4.89 eV per atom. Number 5: mass density 8.83 g/cm3, total DFT energy (no corrections) -3.51 eV per atom. Number 6: mass density 2.15 g/cm3, total DFT energy (no corrections) -1.49 eV per atom. Number 7: mass density 6.75 g/cm3, total DFT energy (no corrections) -4.29 eV per atom. Number 8: mass density 10.05 g/cm3, total DFT energy (no corrections) -3.51 eV per atom. Number 9: mass density 4.97 g/cm3, total DFT energy (no corrections) -3.55 eV per atom. Number 10: mass density 3.86 g/cm3, total DFT energy (no corrections) -4.29 eV per atom. Number 11: mass density 7.50 g/cm3, total DFT energy (no corrections) -4.49 eV per atom. Number 12: mass density 7.53 g/cm3, total DFT energy (no corrections) -4.45 eV per atom.